(1)
This record from the Alexandria database describes a relaxed MnAsCl2 crystal. The functional is GGA-PBEsol.

Cell: 5.964 6.274 4.156 Å, 90.00 90.00 90.00°
Space group Cmmm (No. 65)
Unique sites:
Mn 0.000 0.000 0.000 [2 per cell]
As 0.000 0.500 0.000 [2 per cell]
Cl 0.000 0.234 0.500 [4 per cell]

Summary:
Energy above the lowest structure with this stoichiometry   277 meV per atom
Energy relative to the elements, uncorrected   0.02 eV per atom


(2)
This record from the Alexandria database describes a relaxed NaMoBr3 crystal. The functional is GGA-PBEsol.

Cell: 5.162 5.162 5.162 Å, 90.00 90.00 90.00°
Space group Pm-3m (No. 221)
Unique sites:
Na 0.000 0.000 0.000 [1 per cell]
Mo 0.500 0.500 0.500 [1 per cell]
Br 0.000 0.000 0.500 [3 per cell]

Summary:
Energy relative to the elements, uncorrected   0.42 eV per atom